[1]
# Ga2BBrF PBE optimized geometry
# Magnetization   0.0 μB per formula unit
# Mass density   3.75 g cm⁻³
# Formation energy (no corrections)   0.28 eV/atom
data_Ga2BBrF
_chemical_formula_sum 'Ga2 B1 Br1 F1'
_cell_length_a 5.282
_cell_length_b 5.282
_cell_length_c 3.950
_cell_angle_alpha 90.00
_cell_angle_beta 90.00
_cell_angle_gamma 90.00
_symmetry_space_group_name_H-M 'P 4/m m m'
_symmetry_Int_Tables_number 123
_symmetry_space_group_name_Hall '-P 4 2'
loop_
_atom_site_label
_atom_site_fract_x
_atom_site_fract_y
_atom_site_fract_z
Ga1 0.000 0.500 0.000
B1 0.000 0.000 0.500
Br1 0.500 0.500 0.500
F1 0.000 0.000 0.000

---

[2]
# GeBBrF2 PBE optimized geometry
# Magnetization   0.0 μB per formula unit
# Mass density   4.79 g cm⁻³
# Formation energy (no corrections)   -0.64 eV/atom
data_GeBBrF2
_chemical_formula_sum 'Ge1 B1 Br1 F2'
_cell_length_a 3.943
_cell_length_b 3.943
_cell_length_c 4.487
_cell_angle_alpha 90.00
_cell_angle_beta 90.00
_cell_angle_gamma 90.00
_symmetry_space_group_name_H-M 'P 4/m m m'
_symmetry_Int_Tables_number 123
_symmetry_space_group_name_Hall '-P 4 2'
loop_
_atom_site_label
_atom_site_fract_x
_atom_site_fract_y
_atom_site_fract_z
Ge1 0.000 0.000 0.000
B1 0.000 0.000 0.500
Br1 0.500 0.500 0.500
F1 0.000 0.500 0.000

---

[3]
# BHBrF2 PBE optimized geometry
# Magnetization   0.0 μB per formula unit
# Mass density   3.86 g cm⁻³
# Final energy   -2.756 eV per atom
data_BHBrF2
_chemical_formula_sum 'B1 H1 Br1 F2'
_cell_length_a 3.241
_cell_length_b 3.241
_cell_length_c 5.305
_cell_angle_alpha 90.00
_cell_angle_beta 90.00
_cell_angle_gamma 90.00
_symmetry_space_group_name_H-M 'P 4/m m m'
_symmetry_Int_Tables_number 123
_symmetry_space_group_name_Hall '-P 4 2'
loop_
_atom_site_label
_atom_site_fract_x
_atom_site_fract_y
_atom_site_fract_z
B1 0.000 0.000 0.000
H1 0.000 0.000 0.500
Br1 0.500 0.500 0.000
F1 0.000 0.500 0.500

---

[4]
# HgBBrF4 PBE optimized geometry
# Magnetization   0.0 μB per formula unit
# Mass density   4.28 g cm⁻³
# Formation energy (no corrections)   -2.04 eV/atom
data_HgBBrF4
_chemical_formula_sum 'Hg4 B4 Br4 F16'
_cell_length_a 10.182
_cell_length_b 7.519
_cell_length_c 8.719
_cell_angle_alpha 90.00
_cell_angle_beta 121.33
_cell_angle_gamma 90.00
_symmetry_space_group_name_H-M 'C 1 2/m 1'
_symmetry_Int_Tables_number 12
loop_
_symmetry_equiv_pos_as_xyz
'x,y,z'
'-x,-y,-z'
'-x,y,-z'
'x,-y,z'
'x+1/2,y+1/2,z'
'-x+1/2,-y+1/2,-z'
'-x+1/2,y+1/2,-z'
'x+1/2,-y+1/2,z'
loop_
_atom_site_label
_atom_site_fract_x
_atom_site_fract_y
_atom_site_fract_z
Hg1 0.176 0.000 0.209
B1 0.124 0.500 0.323
Br1 0.144 0.000 0.906
F1 0.005 0.500 0.661
F2 0.134 0.346 0.238
F3 0.236 0.000 0.493